# Ba2Mg5Tl3

An optimized crystal structure of Ba2Mg5Tl3 (PBE-GGA, Alexandria via LeMat-Bulk).

The formation energy from the elements is -0.20 eV per atom. The calculation puts the energy above the most stable polymorph in this dataset at 0 meV per atom. As for the symmetry: Ibam (72). The value obtained for the density of states at the Fermi level is 0.773 states/eV per atom.

Unit cell a=10.0200 b=10.0200 c=10.0200 alpha=101.95 beta=92.35 gamma=138.76
Last column: nearest neighbours and their distance in Å.
Sites, in units of the cell vectors:
Ba: 0.1233 0.2486 0.3719  10 Mg 3.71-4.04, 6 Tl 3.74-3.99
Ba: 0.3767 0.7486 0.1253  10 Mg 3.71-4.04, 6 Tl 3.74-3.99
Ba: 0.6233 0.2514 0.8747  10 Mg 3.71-4.04, 6 Tl 3.74-3.99
Ba: 0.8767 0.7514 0.6281  10 Mg 3.71-4.04, 6 Tl 3.74-3.99
Mg: 0.0057 0.7500 0.2557  2 Tl 2.97, 2 Mg 3.06
Mg: 0.1220 0.8678 0.9898  3 Tl 2.91-2.96, 2 Mg 3.06
Mg: 0.2500 0.7500 0.5000  4 Tl 3.02
Mg: 0.3780 0.3678 0.7457  3 Tl 2.91-2.96, 2 Mg 3.06
Mg: 0.4943 0.7500 0.7443  2 Tl 2.97, 2 Mg 3.06
Mg: 0.5057 0.2500 0.2557  2 Tl 2.97, 2 Mg 3.06
Mg: 0.6220 0.6322 0.2543  3 Tl 2.91-2.96, 2 Mg 3.06
Mg: 0.7500 0.2500 0.5000  4 Tl 3.02
Mg: 0.8780 0.1322 0.0102  3 Tl 2.91-2.96, 2 Mg 3.06
Mg: 0.9943 0.2500 0.7443  2 Tl 2.97, 2 Mg 3.06
Tl: 0.1257 0.6371 0.7628  5 Mg 2.91-3.02
Tl: 0.2500 0.2500 0.0000  4 Mg 2.96
Tl: 0.3743 0.1371 0.5113  5 Mg 2.91-3.02
Tl: 0.6257 0.8629 0.4887  5 Mg 2.91-3.02
Tl: 0.7500 0.7500 0.0000  4 Mg 2.96
Tl: 0.8743 0.3629 0.2372  5 Mg 2.91-3.02

# La2POsSe

An optimized crystal structure of La2POsSe (PBE-GGA, Alexandria via LeMat-Bulk).

The calculation puts the formation energy (no corrections) at -0.092 eV per atom. As for the symmetry: P4/mmm (123). The value obtained for the density of states at the Fermi level is 0.936 states/eV per atom.

Unit cell a=5.6806 b=5.6806 c=4.4452 alpha=90.00 beta=90.00 gamma=90.00
Last column: nearest neighbours and their distance in Å.
Sites, in units of the cell vectors:
La: 0.0000 0.5000 0.0000  2 Se 2.84
La: 0.5000 0.0000 0.0000  2 Se 2.84
P: 0.0000 0.0000 0.5000  8 La 3.61, 4 Os 4.02
Os: 0.5000 0.5000 0.5000  2 Se 2.22
Se: 0.5000 0.5000 0.0000  2 Os 2.22

# TbHf2Ir

An optimized crystal structure of TbHf2Ir (PBE-GGA, Alexandria via LeMat-Bulk).

The formation energy from the elements is -0.13 eV per atom. As for the symmetry: R-3m (166). The value obtained for the density of states at the Fermi level is 1.339 states/eV per atom.

Unit cell a=4.5011 b=4.5011 c=15.8146 alpha=90.00 beta=90.00 gamma=120.00
Last column: nearest neighbours and their distance in Å.
Sites, in units of the cell vectors:
Tb: 0.0000 0.0000 0.0000  8 Hf 3.16-3.48
Tb: 0.3333 0.6667 0.6667  8 Hf 3.16-3.48
Tb: 0.6667 0.3333 0.3333  8 Hf 3.16-3.48
Hf: 0.0000 0.0000 0.2199  3 Ir 2.73
Hf: 0.0000 0.0000 0.7801  3 Ir 2.73
Hf: 0.3333 0.6667 0.4468  3 Ir 2.73
Hf: 0.3333 0.6667 0.8866  3 Ir 2.73
Hf: 0.6667 0.3333 0.1134  3 Ir 2.73
Hf: 0.6667 0.3333 0.5532  3 Ir 2.73
Ir: 0.0000 0.0000 0.5000  6 Hf 2.73
Ir: 0.3333 0.6667 0.1667  6 Hf 2.73
Ir: 0.6667 0.3333 0.8333  6 Hf 2.73

# NdHo

An optimized crystal structure of NdHo (PBE-GGA, Alexandria via LeMat-Bulk).

The formation energy from the elements is 0.11 eV per atom. The calculation puts the energy above the most stable polymorph in this dataset at 101 meV per atom. As for the symmetry: Pm-3m (221). The value obtained for the density of states at the Fermi level is 2.013 states/eV per atom.

Unit cell a=4.0587 b=4.0587 c=4.0587 alpha=90.00 beta=90.00 gamma=90.00
Last column: nearest neighbours and their distance in Å.
Sites, in units of the cell vectors:
Nd: 0.0000 0.0000 0.0000  8 Ho 3.51
Ho: 0.5000 0.5000 0.5000  8 Nd 3.51

# Ce3Ga2Tc4

An optimized crystal structure of Ce3Ga2Tc4 (PBE-GGA, Alexandria via LeMat-Bulk).

The formation energy from the elements is -0.22 eV per atom. As for the symmetry: C2/m (12). The value obtained for the density of states at the Fermi level is 0.981 states/eV per atom.

Unit cell a=5.3813 b=5.3813 c=8.6067 alpha=95.96 beta=95.96 gamma=49.54
Last column: nearest neighbours and their distance in Å.
Sites, in units of the cell vectors:
Ce: 0.0000 0.0000 0.0000  2 Tc 2.49
Ce: 0.3567 0.3567 0.6218  1 Tc 2.52
Ce: 0.6433 0.6433 0.3782  1 Tc 2.52
Ga: 0.3304 0.3304 0.2331  5 Tc 2.66-2.73
Ga: 0.6696 0.6696 0.7669  5 Tc 2.66-2.73
Tc: 0.0984 0.0984 0.6107  1 Ce 2.52, 1 Tc 2.55, 2 Ga 2.68
Tc: 0.2376 0.2376 0.9211  1 Ce 2.49, 2 Tc 2.63, 3 Ga 2.66-2.73
Tc: 0.7624 0.7624 0.0789  1 Ce 2.49, 2 Tc 2.63, 3 Ga 2.66-2.73
Tc: 0.9016 0.9016 0.3893  1 Ce 2.52, 1 Tc 2.55, 2 Ga 2.68

# YUSe3

An optimized crystal structure of YUSe3 (PBE-GGA, Alexandria via LeMat-Bulk).

The calculation puts the formation energy (no corrections) at -1.500 eV per atom. The calculation puts the energy above the most stable polymorph in this dataset at 0 meV per atom. As for the symmetry: Pnma (62). The value obtained for the density of states at the Fermi level is 1.501 states/eV per atom.

Unit cell a=7.6859 b=4.0684 c=15.7806 alpha=90.00 beta=90.00 gamma=90.00
Last column: nearest neighbours and their distance in Å.
Sites, in units of the cell vectors:
Y: 0.2359 0.2500 0.0430  7 Se 2.89-3.03
Y: 0.2641 0.7500 0.5430  7 Se 2.89-3.03
Y: 0.7359 0.2500 0.4570  7 Se 2.89-3.03
Y: 0.7641 0.7500 0.9570  7 Se 2.89-3.03
U: 0.1348 0.7500 0.2927  7 Se 2.87-3.07
U: 0.3652 0.2500 0.7927  7 Se 2.87-3.07
U: 0.6348 0.7500 0.2073  7 Se 2.87-3.07
U: 0.8652 0.2500 0.7073  7 Se 2.87-3.07
Se: 0.0061 0.7500 0.1084  3 Y 2.89-3.03, 1 U 3.07
Se: 0.1224 0.2500 0.4320  3 Y 2.90-3.00, 2 U 3.00, 1 Se 3.18
Se: 0.1477 0.7500 0.7207  4 U 2.87-2.98, 1 Y 2.94, 1 Se 3.18
Se: 0.3523 0.2500 0.2207  4 U 2.87-2.98, 1 Y 2.94, 1 Se 3.18
Se: 0.3776 0.7500 0.9320  3 Y 2.90-3.00, 2 U 3.00, 1 Se 3.18
Se: 0.4939 0.2500 0.6084  3 Y 2.89-3.03, 1 U 3.07
Se: 0.5061 0.7500 0.3916  3 Y 2.89-3.03, 1 U 3.07
Se: 0.6224 0.2500 0.0680  3 Y 2.90-3.00, 2 U 3.00, 1 Se 3.18
Se: 0.6477 0.7500 0.7793  4 U 2.87-2.98, 1 Y 2.94, 1 Se 3.18
Se: 0.8523 0.2500 0.2793  4 U 2.87-2.98, 1 Y 2.94, 1 Se 3.18
Se: 0.8776 0.7500 0.5680  3 Y 2.90-3.00, 2 U 3.00, 1 Se 3.18
Se: 0.9939 0.2500 0.8916  3 Y 2.89-3.03, 1 U 3.07

# La9B3C6I5

An optimized crystal structure of La9B3C6I5 (PBE-GGA, Alexandria via LeMat-Bulk).

The calculation puts the formation energy (no corrections) at -0.786 eV per atom. As for the symmetry: Pmmn (59). The value obtained for the density of states at the Fermi level is 0.279 states/eV per atom.

Unit cell a=3.9687 b=33.8528 c=8.3063 alpha=90.00 beta=90.00 gamma=90.00
Last column: nearest neighbours and their distance in Å.
Sites, in units of the cell vectors:
La: 0.2500 0.0092 0.1837  3 C 2.51-2.64
La: 0.2500 0.0952 0.9211  2 B 2.67, 4 C 2.79-2.81
La: 0.2500 0.1349 0.3330  3 C 2.52-2.63
La: 0.2500 0.3651 0.3330  3 C 2.52-2.63
La: 0.2500 0.4048 0.9211  2 B 2.67, 4 C 2.79-2.81
La: 0.2500 0.4908 0.1837  3 C 2.51-2.64
La: 0.2500 0.6942 0.9503  3 C 2.46-2.67
La: 0.2500 0.7500 0.5724  2 B 2.65, 4 C 2.83
La: 0.2500 0.8058 0.9503  3 C 2.46-2.67
La: 0.7500 0.1942 0.0497  3 C 2.46-2.67
La: 0.7500 0.2500 0.4276  2 B 2.65, 4 C 2.83
La: 0.7500 0.3058 0.0497  3 C 2.46-2.67
La: 0.7500 0.5092 0.8163  3 C 2.51-2.64
La: 0.7500 0.5952 0.0789  2 B 2.67, 4 C 2.79-2.81
La: 0.7500 0.6349 0.6670  3 C 2.52-2.63
La: 0.7500 0.8651 0.6670  3 C 2.52-2.63
La: 0.7500 0.9048 0.0789  2 B 2.67, 4 C 2.79-2.81
La: 0.7500 0.9908 0.8163  3 C 2.51-2.64
B: 0.2500 0.2500 0.2158  2 C 1.49
B: 0.2500 0.5802 0.8720  2 C 1.49
B: 0.2500 0.9198 0.8720  2 C 1.49
B: 0.7500 0.0802 0.1280  2 C 1.49
B: 0.7500 0.4198 0.1280  2 C 1.49
B: 0.7500 0.7500 0.7842  2 C 1.49
C: 0.2500 0.2072 0.2587  1 B 1.49
C: 0.2500 0.2928 0.2587  1 B 1.49
C: 0.2500 0.5436 0.9713  1 B 1.49
C: 0.2500 0.6241 0.8701  1 B 1.49
C: 0.2500 0.8759 0.8701  1 B 1.49
C: 0.2500 0.9564 0.9713  1 B 1.49
C: 0.7500 0.0436 0.0287  1 B 1.49
C: 0.7500 0.1241 0.1299  1 B 1.49
C: 0.7500 0.3759 0.1299  1 B 1.49
C: 0.7500 0.4564 0.0287  1 B 1.49
C: 0.7500 0.7072 0.7413  1 B 1.49
C: 0.7500 0.7928 0.7413  1 B 1.49
I: 0.2500 0.0485 0.5709  5 La 3.31-3.53
I: 0.2500 0.2500 0.7859  6 La 3.51-3.58, 1 B 3.57
I: 0.2500 0.4515 0.5709  5 La 3.31-3.53
I: 0.2500 0.6526 0.3334  6 La 3.46-3.85
I: 0.2500 0.8474 0.3334  6 La 3.46-3.85
I: 0.7500 0.1526 0.6666  6 La 3.46-3.85
I: 0.7500 0.3474 0.6666  6 La 3.46-3.85
I: 0.7500 0.5485 0.4291  5 La 3.31-3.53
I: 0.7500 0.7500 0.2141  6 La 3.51-3.58, 1 B 3.57
I: 0.7500 0.9515 0.4291  5 La 3.31-3.53

# DyMgHgIr

An optimized crystal structure of DyMgHgIr (PBE-GGA, Alexandria via LeMat-Bulk).

The formation energy from the elements is -0.42 eV per atom. As for the symmetry: F-43m (216). The value obtained for the density of states at the Fermi level is 0.594 states/eV per atom.

Unit cell a=6.8742 b=6.8742 c=6.8742 alpha=90.00 beta=90.00 gamma=90.00
Last column: nearest neighbours and their distance in Å.
Sites, in units of the cell vectors:
Dy: 0.0000 0.0000 0.0000  4 Hg 2.98, 4 Ir 2.98
Dy: 0.0000 0.5000 0.5000  4 Hg 2.98, 4 Ir 2.98
Dy: 0.5000 0.0000 0.5000  4 Hg 2.98, 4 Ir 2.98
Dy: 0.5000 0.5000 0.0000  4 Hg 2.98, 4 Ir 2.98
Mg: 0.0000 0.0000 0.5000  4 Hg 2.98, 4 Ir 2.98
Mg: 0.0000 0.5000 0.0000  4 Hg 2.98, 4 Ir 2.98
Mg: 0.5000 0.0000 0.0000  4 Hg 2.98, 4 Ir 2.98
Mg: 0.5000 0.5000 0.5000  4 Ir 2.98, 4 Hg 2.98
Hg: 0.2500 0.2500 0.2500  4 Dy 2.98, 4 Mg 2.98
Hg: 0.2500 0.7500 0.7500  4 Dy 2.98, 4 Mg 2.98
Hg: 0.7500 0.2500 0.7500  4 Dy 2.98, 4 Mg 2.98
Hg: 0.7500 0.7500 0.2500  4 Dy 2.98, 4 Mg 2.98
Ir: 0.2500 0.2500 0.7500  4 Dy 2.98, 4 Mg 2.98
Ir: 0.2500 0.7500 0.2500  4 Dy 2.98, 4 Mg 2.98
Ir: 0.7500 0.2500 0.2500  4 Dy 2.98, 4 Mg 2.98
Ir: 0.7500 0.7500 0.7500  4 Mg 2.98, 4 Dy 2.98

# GdScInSn

An optimized crystal structure of GdScInSn (PBE-GGA, Alexandria via LeMat-Bulk).

The formation energy from the elements is -0.47 eV per atom. As for the symmetry: F-43m (216). The value obtained for the density of states at the Fermi level is 0.735 states/eV per atom.

Unit cell a=7.3898 b=7.3898 c=7.3898 alpha=90.00 beta=90.00 gamma=90.00
Last column: nearest neighbours and their distance in Å.
Sites, in units of the cell vectors:
Gd: 0.0000 0.0000 0.0000  4 In 3.20, 4 Sn 3.20
Gd: 0.0000 0.5000 0.5000  4 In 3.20, 4 Sn 3.20
Gd: 0.5000 0.0000 0.5000  4 In 3.20, 4 Sn 3.20
Gd: 0.5000 0.5000 0.0000  4 In 3.20, 4 Sn 3.20
Sc: 0.0000 0.0000 0.5000  4 In 3.20, 4 Sn 3.20
Sc: 0.0000 0.5000 0.0000  4 In 3.20, 4 Sn 3.20
Sc: 0.5000 0.0000 0.0000  4 In 3.20, 4 Sn 3.20
Sc: 0.5000 0.5000 0.5000  4 In 3.20, 4 Sn 3.20
In: 0.2500 0.2500 0.7500  4 Gd 3.20, 4 Sc 3.20
In: 0.2500 0.7500 0.2500  4 Gd 3.20, 4 Sc 3.20
In: 0.7500 0.2500 0.2500  4 Gd 3.20, 4 Sc 3.20
In: 0.7500 0.7500 0.7500  4 Gd 3.20, 4 Sc 3.20
Sn: 0.2500 0.2500 0.2500  4 Gd 3.20, 4 Sc 3.20
Sn: 0.2500 0.7500 0.7500  4 Gd 3.20, 4 Sc 3.20
Sn: 0.7500 0.2500 0.7500  4 Gd 3.20, 4 Sc 3.20
Sn: 0.7500 0.7500 0.2500  4 Gd 3.20, 4 Sc 3.20

# Tb2SiSe

An optimized crystal structure of Tb2SiSe (PBE-GGA, Alexandria via LeMat-Bulk).

The calculation puts the formation energy (no corrections) at -1.308 eV per atom. The calculation puts the energy above the most stable polymorph in this dataset at 11 meV per atom. As for the symmetry: R-3m (166). The value obtained for the density of states at the Fermi level is 0.330 states/eV per atom.

Unit cell a=4.1188 b=4.1188 c=20.4799 alpha=90.00 beta=90.00 gamma=120.00
Last column: nearest neighbours and their distance in Å.
Sites, in units of the cell vectors:
Tb: 0.0000 0.0000 0.2457  3 Si 2.88, 3 Se 2.98
Tb: 0.0000 0.0000 0.7543  3 Si 2.88, 3 Se 2.98
Tb: 0.3333 0.6667 0.4210  3 Si 2.88, 3 Se 2.98
Tb: 0.3333 0.6667 0.9124  3 Si 2.88, 3 Se 2.98
Tb: 0.6667 0.3333 0.0876  3 Si 2.88, 3 Se 2.98
Tb: 0.6667 0.3333 0.5790  3 Si 2.88, 3 Se 2.98
Si: 0.0000 0.0000 0.5000  6 Tb 2.88
Si: 0.3333 0.6667 0.1667  6 Tb 2.88
Si: 0.6667 0.3333 0.8333  6 Tb 2.88
Se: 0.0000 0.0000 0.0000  6 Tb 2.98
Se: 0.3333 0.6667 0.6667  6 Tb 2.98
Se: 0.6667 0.3333 0.3333  6 Tb 2.98

# YAlCu5

An optimized crystal structure of YAlCu5 (PBE-GGA, Alexandria via LeMat-Bulk).

The formation energy from the elements is -0.27 eV per atom. As for the symmetry: Pnma (62). The value obtained for the density of states at the Fermi level is 0.575 states/eV per atom.

Unit cell a=8.0890 b=5.0124 c=10.2209 alpha=90.00 beta=90.00 gamma=90.00
Last column: nearest neighbours and their distance in Å.
Sites, in units of the cell vectors:
Y: 0.2437 0.2500 0.0583  11 Cu 2.86-3.20, 1 Al 3.16
Y: 0.2563 0.7500 0.5583  11 Cu 2.86-3.20, 1 Al 3.16
Y: 0.7437 0.2500 0.4417  11 Cu 2.86-3.20, 1 Al 3.16
Y: 0.7563 0.7500 0.9417  11 Cu 2.86-3.20, 1 Al 3.16
Al: 0.1459 0.7500 0.8546  8 Cu 2.50-2.73
Al: 0.3541 0.2500 0.3546  8 Cu 2.50-2.73
Al: 0.6459 0.7500 0.6454  8 Cu 2.50-2.73
Al: 0.8541 0.2500 0.1454  8 Cu 2.50-2.73
Cu: 0.0615 0.7500 0.0895  1 Al 2.50, 4 Cu 2.54-2.66
Cu: 0.0661 0.0063 0.3057  7 Cu 2.44-2.58, 2 Al 2.67-2.68
Cu: 0.0661 0.4937 0.3057  7 Cu 2.44-2.58, 2 Al 2.67-2.68
Cu: 0.0936 0.2500 0.5162  5 Cu 2.48-2.58, 1 Al 2.68
Cu: 0.1825 0.2500 0.7534  7 Cu 2.46-2.66, 2 Al 2.73
Cu: 0.3175 0.7500 0.2534  7 Cu 2.46-2.66, 2 Al 2.73
Cu: 0.4064 0.7500 0.0162  5 Cu 2.48-2.58, 1 Al 2.68
Cu: 0.4339 0.5063 0.8057  7 Cu 2.44-2.58, 2 Al 2.67-2.68
Cu: 0.4339 0.9937 0.8057  7 Cu 2.44-2.58, 2 Al 2.67-2.68
Cu: 0.4385 0.2500 0.5895  1 Al 2.50, 4 Cu 2.54-2.66
Cu: 0.5615 0.7500 0.4105  1 Al 2.50, 4 Cu 2.54-2.66
Cu: 0.5661 0.0063 0.1943  7 Cu 2.44-2.58, 2 Al 2.67-2.68
Cu: 0.5661 0.4937 0.1943  7 Cu 2.44-2.58, 2 Al 2.67-2.68
Cu: 0.5936 0.2500 0.9838  5 Cu 2.48-2.58, 1 Al 2.68
Cu: 0.6825 0.2500 0.7466  7 Cu 2.46-2.66, 2 Al 2.73
Cu: 0.8175 0.7500 0.2466  7 Cu 2.46-2.66, 2 Al 2.73
Cu: 0.9064 0.7500 0.4838  5 Cu 2.48-2.58, 1 Al 2.68
Cu: 0.9339 0.5063 0.6943  7 Cu 2.44-2.58, 2 Al 2.67-2.68
Cu: 0.9339 0.9937 0.6943  7 Cu 2.44-2.58, 2 Al 2.67-2.68
Cu: 0.9385 0.2500 0.9105  1 Al 2.50, 4 Cu 2.54-2.66

# ReB

An optimized crystal structure of ReB (PBE-GGA, Alexandria via LeMat-Bulk).

The formation energy from the elements is 0.18 eV per atom. As for the symmetry: P6_3/m (176). The value obtained for the density of states at the Fermi level is 0.491 states/eV per atom.

Unit cell a=6.2242 b=6.2242 c=4.2922 alpha=90.00 beta=90.00 gamma=120.00
Last column: nearest neighbours and their distance in Å.
Sites, in units of the cell vectors:
Re: 0.0683 0.3718 0.2500  5 B 2.10-2.25
Re: 0.3034 0.9317 0.2500  5 B 2.10-2.25
Re: 0.3718 0.3034 0.7500  5 B 2.10-2.25
Re: 0.6282 0.6966 0.2500  5 B 2.10-2.25
Re: 0.6966 0.0683 0.7500  5 B 2.10-2.25
Re: 0.9317 0.6282 0.7500  5 B 2.10-2.25
B: 0.0872 0.3907 0.7500  5 Re 2.10-2.25
B: 0.3034 0.9128 0.7500  5 Re 2.10-2.25
B: 0.3907 0.3034 0.2500  5 Re 2.10-2.25
B: 0.6093 0.6966 0.7500  5 Re 2.10-2.25
B: 0.6966 0.0872 0.2500  5 Re 2.10-2.25
B: 0.9128 0.6093 0.2500  5 Re 2.10-2.25